No. 1
LiYF3 | PBE | optimized geometry

Summary:
* uncorrected energy: -5.726 eV per atom
* excess energy over the best structure of this formula in the dataset: 0.042 eV per atom
* formation energy (no corrections): -2.927 eV per atom

Lattice parameters (Å, degrees): 3.8049 3.8049 3.8049 90.00 90.00 90.00
Closest atoms and distances in Å follow each position.
Fractional coordinates of all 5 atoms:
Li 0.0000 0.0000 0.0000  6 F 1.90
Y 0.5000 0.5000 0.5000  12 F 2.69
F 0.0000 0.0000 0.5000  2 Li 1.90
F 0.0000 0.5000 0.0000  2 Li 1.90
F 0.5000 0.0000 0.0000  2 Li 1.90

***

No. 2
Li3YF | PBE | optimized geometry

Summary:
* uncorrected energy: -2.160 eV per atom
* excess energy over the best structure of this formula in the dataset: 1.285 eV per atom
* formation energy (no corrections): 0.656 eV per atom

Lattice parameters (Å, degrees): 6.1270 6.1270 6.1270 90.00 90.00 90.00
Closest atoms and distances in Å follow each position.
Fractional coordinates of all 5 atoms:
Li 0.0000 0.0000 0.5000  2 Y 3.06
Li 0.0000 0.5000 0.0000  2 Y 3.06
Li 0.5000 0.0000 0.0000  2 Y 3.06
Y 0.0000 0.0000 0.0000  6 Li 3.06
F 0.5000 0.5000 0.5000  12 Li 4.33

***

No. 3
Li2YF | PBE | optimized geometry

Summary:
* uncorrected energy: -4.057 eV per atom
* excess energy over the best structure of this formula in the dataset: 0.000 eV per atom
* formation energy (no corrections): -1.016 eV per atom

Lattice parameters (Å, degrees): 6.1639 6.1639 6.1639 60.00 60.00 60.00
Closest atoms and distances in Å follow each position.
Fractional coordinates of all 8 atoms:
Li 0.0000 0.0000 0.0000  2 F 1.89
Li 0.0000 0.0000 0.5000  2 F 1.89
Li 0.0000 0.5000 0.0000  2 F 1.89
Li 0.5000 0.0000 0.0000  2 F 1.89
Y 0.3750 0.3750 0.3750  12 Li 3.61, 4 F 3.77, 4 Y 3.77
Y 0.6250 0.6250 0.6250  12 Li 3.61, 4 Y 3.77, 4 F 3.77
F 0.1250 0.1250 0.1250  4 Li 1.89
F 0.8750 0.8750 0.8750  4 Li 1.89

***

No. 4
LiYF2 | PBE | optimized geometry

Summary:
* uncorrected energy: -4.916 eV per atom
* excess energy over the best structure of this formula in the dataset: 0.706 eV per atom
* formation energy (no corrections): -1.885 eV per atom

Lattice parameters (Å, degrees): 6.1330 6.1330 6.1330 90.00 90.00 90.00
Closest atoms and distances in Å follow each position.
Fractional coordinates of all 16 atoms:
Li 0.0000 0.0000 0.0000  8 F 2.66
Li 0.0000 0.5000 0.5000  8 F 2.66
Li 0.5000 0.0000 0.5000  8 F 2.66
Li 0.5000 0.5000 0.0000  8 F 2.66
Y 0.0000 0.0000 0.5000  8 F 2.66
Y 0.0000 0.5000 0.0000  8 F 2.66
Y 0.5000 0.0000 0.0000  8 F 2.66
Y 0.5000 0.5000 0.5000  8 F 2.66
F 0.2500 0.2500 0.2500  4 Y 2.66, 4 Li 2.66
F 0.2500 0.2500 0.7500  4 Li 2.66, 4 Y 2.66
F 0.2500 0.7500 0.2500  4 Li 2.66, 4 Y 2.66
F 0.2500 0.7500 0.7500  4 Li 2.66, 4 Y 2.66
F 0.7500 0.2500 0.2500  4 Li 2.66, 4 Y 2.66
F 0.7500 0.2500 0.7500  4 Li 2.66, 4 Y 2.66
F 0.7500 0.7500 0.2500  4 Y 2.66, 4 Li 2.66
F 0.7500 0.7500 0.7500  4 Li 2.66, 4 Y 2.66

***

No. 5
Li3YF | PBE | optimized geometry

Summary:
* uncorrected energy: -3.445 eV per atom
* excess energy over the best structure of this formula in the dataset: 0.000 eV per atom
* formation energy (no corrections): -0.629 eV per atom

Lattice parameters (Å, degrees): 4.5814 4.5814 4.5814 90.00 90.00 90.00
Closest atoms and distances in Å follow each position.
Fractional coordinates of all 5 atoms:
Li 0.0000 0.0000 0.5000  2 F 2.29
Li 0.0000 0.5000 0.0000  2 F 2.29
Li 0.5000 0.0000 0.0000  2 F 2.29
Y 0.5000 0.5000 0.5000  12 Li 3.24
F 0.0000 0.0000 0.0000  6 Li 2.29

***

No. 6
Li2YF | PBE | optimized geometry

Summary:
* uncorrected energy: -3.184 eV per atom
* excess energy over the best structure of this formula in the dataset: 0.872 eV per atom
* formation energy (no corrections): -0.144 eV per atom

Lattice parameters (Å, degrees): 6.9457 6.9457 6.9457 90.00 90.00 90.00
Closest atoms and distances in Å follow each position.
Fractional coordinates of all 16 atoms:
Li 0.2500 0.2500 0.2500  4 F 3.01, 4 Y 3.01
Li 0.2500 0.2500 0.7500  4 F 3.01, 4 Y 3.01
Li 0.2500 0.7500 0.2500  4 F 3.01, 4 Y 3.01
Li 0.2500 0.7500 0.7500  4 F 3.01, 4 Y 3.01
Li 0.7500 0.2500 0.2500  4 F 3.01, 4 Y 3.01
Li 0.7500 0.2500 0.7500  4 F 3.01, 4 Y 3.01
Li 0.7500 0.7500 0.2500  4 F 3.01, 4 Y 3.01
Li 0.7500 0.7500 0.7500  4 F 3.01, 4 Y 3.01
Y 0.0000 0.0000 0.0000  8 Li 3.01
Y 0.0000 0.5000 0.5000  8 Li 3.01
Y 0.5000 0.0000 0.5000  8 Li 3.01
Y 0.5000 0.5000 0.0000  8 Li 3.01
F 0.0000 0.0000 0.5000  8 Li 3.01
F 0.0000 0.5000 0.0000  8 Li 3.01
F 0.5000 0.0000 0.0000  8 Li 3.01
F 0.5000 0.5000 0.5000  8 Li 3.01

***

Q: Among the records above, which one has the lowest uncorrected energy?
A: LiYF3

***

Q: Which of these has the highest uncorrected energy?
A: number 2

***

Q: What is the formula in the second record?
A: Li3YF